--- one ---
This record from Alexandria describes Sr3Hf2O7 after structural relaxation. The functional is PBE.

volume = 356 Å³/cell
space-group type = Ccce
crystal system = orthorhombic

```
Sr3Hf2O7
1.0
-1.175 8.396 7.116
-3.840 -9.385 -4.436
2.764 -3.046 4.050
Sr Hf O
6 4 14
Cartesian
-0.295 3.525 6.965
-3.010 -3.843 -0.835
1.382 -1.523 2.025
-1.956 -7.559 -0.236
-2.508 -0.495 1.340
-2.006 2.853 3.515
-1.437 6.646 5.979
-0.863 -0.268 4.501
-1.388 -3.767 2.228
-3.578 -7.635 -3.299
-1.648 -5.506 1.098
-3.317 -5.896 -2.170
-3.219 -3.030 1.577
0.452 -4.449 2.915
-0.682 0.813 2.735
-2.922 0.023 4.468
-1.052 -1.404 6.232
0.000 0.000 0.000
-1.698 4.907 4.849
-0.443 -2.831 0.630
-0.603 1.471 5.631
1.187 -0.613 4.499
-1.126 -2.017 3.365
-2.324 -4.648 3.862
```



--- two ---
This record from Alexandria describes Sr3Hf2O7 after structural relaxation. The functional is PBE.

volume = 180 Å³/cell
space-group type = I4/mmm
crystal system = tetragonal

```
Sr3Hf2O7
1.0
10.915 0.000 0.000
9.351 5.630 0.000
-10.133 -2.815 2.922
Sr O Hf
3 7 2
Cartesian
10.133 2.815 0.000
13.915 3.866 0.000
6.351 1.764 0.000
4.019 1.117 0.000
0.000 0.000 0.000
2.375 -0.856 1.461
7.758 3.672 1.461
16.247 4.514 0.000
8.540 0.856 1.461
1.593 1.959 1.461
2.018 0.561 0.000
18.248 5.070 0.000
```



Name the most stable of them. one.



--- one ---
This record from Alexandria describes Sr3HfO after structural relaxation. The functional is PBE.

volume = 147 Å³/cell
space-group type = Pm-3m
crystal system = cubic

```
Sr3HfO
1.0
-0.933 -2.198 4.704
5.139 0.292 1.155
-0.742 4.787 2.089
O Sr Hf
1 3 1
Cartesian
0.000 0.000 0.000
-0.466 -1.099 2.352
-0.371 2.393 1.045
2.569 0.146 0.578
1.732 1.440 3.974
```



--- two ---
This record from Alexandria describes Sr3HfO after structural relaxation. The functional is PBE.

volume = 243 Å³/cell
space-group type = Pm-3m
crystal system = cubic

```
Sr3HfO
1.0
-0.114 -2.308 5.794
2.942 -5.129 -1.985
5.499 2.697 1.182
Sr Hf O
3 1 1
Cartesian
1.471 -2.565 -0.993
2.749 1.348 0.591
-0.057 -1.154 2.897
0.000 0.000 0.000
4.164 -2.370 2.495
```



Name the most stable of them. one.



--- one ---
This record from Alexandria describes SrHfO2 after structural relaxation. The functional is PBE.

volume = 152 Å³/cell
space-group type = I-42d
crystal system = tetragonal

```
SrHfO2
1.0
5.357 0.000 0.000
0.000 5.357 0.000
2.679 2.679 5.290
O Sr Hf
4 2 2
Cartesian
0.860 4.018 1.323
4.497 1.339 1.323
6.696 7.175 3.968
4.018 3.539 3.968
2.679 5.357 2.645
2.679 2.679 0.000
5.357 2.679 2.645
0.000 0.000 0.000
```



--- two ---
This record from Alexandria describes SrHfO2 after structural relaxation. The functional is PBE.

volume = 52 Å³/cell
space-group type = Fm-3m
crystal system = cubic

```
SrHfO2
1.0
-1.404 -3.898 -0.595
-2.101 -1.955 3.046
-4.105 -0.706 -0.409
Sr O Hf
1 2 1
Cartesian
0.000 0.000 0.000
-1.903 -1.640 0.510
-5.708 -4.919 1.531
-3.805 -3.279 1.021
```



--- three ---
This record from Alexandria describes SrHfO2 after structural relaxation. The functional is PBE.

volume = 75 Å³/cell
space-group type = R-3m
crystal system = trigonal

```
SrHfO2
1.0
2.087 0.000 6.602
-1.044 1.808 6.602
-1.044 -1.808 6.602
O Sr Hf
2 1 1
Cartesian
0.000 0.000 17.847
0.000 0.000 1.960
0.000 0.000 9.903
0.000 0.000 0.000
```



Name the most stable of them. three.



--- one ---
This record from Alexandria describes Sr2HfO4 after structural relaxation. The functional is PBE.

volume = 434 Å³/cell
space-group type = P4_2/ncm
crystal system = tetragonal

```
Sr2HfO4
1.0
5.860 0.000 0.000
0.000 5.860 0.000
0.000 0.000 12.646
O Sr Hf
16 8 4
Cartesian
2.930 0.000 3.500
1.731 1.199 1.097
2.930 2.930 3.161
1.199 4.130 11.549
1.199 1.731 5.226
2.930 0.000 9.823
0.000 2.930 2.823
0.000 0.000 3.161
1.731 4.661 7.420
4.661 4.130 5.226
4.130 1.199 7.420
2.930 2.930 9.484
0.000 0.000 9.484
4.661 1.731 11.549
0.000 2.930 9.146
4.130 4.661 1.097
1.378 1.552 11.363
4.308 1.378 1.283
4.482 4.308 11.363
1.552 4.482 1.283
4.482 1.552 5.040
1.378 4.308 5.040
1.552 1.378 7.606
4.308 4.482 7.606
1.465 1.465 3.161
1.465 4.395 9.484
4.395 1.465 9.484
4.395 4.395 3.161
```



--- two ---
This record from Alexandria describes Sr2HfO4 after structural relaxation. The functional is PBE.

volume = 109 Å³/cell
space-group type = I4/mmm
crystal system = tetragonal

```
Sr2HfO4
1.0
-0.249 2.636 -3.153
2.003 -2.680 -2.399
-4.713 -2.638 -4.521
Hf O Sr
1 4 2
Cartesian
0.000 0.000 0.000
-0.080 -0.902 -6.124
-0.125 1.318 -1.576
1.002 -1.340 -1.200
-2.878 -1.779 -3.948
-0.774 -0.794 -3.291
-2.185 -1.887 -6.781
```



--- three ---
This record from Alexandria describes Sr2HfO4 after structural relaxation. The functional is PBE.

volume = 212 Å³/cell
space-group type = Pbam
crystal system = orthorhombic

```
Sr2HfO4
1.0
-3.304 -0.680 -0.033
0.220 -0.780 -6.030
2.053 -10.037 1.373
Sr O Hf
4 8 2
Cartesian
0.158 -9.017 -2.308
-0.242 -7.212 0.514
-1.188 -2.479 -2.383
-0.788 -4.285 -5.204
1.487 -7.158 -1.286
1.866 -8.862 -4.121
0.355 -10.085 0.013
-0.655 -5.125 -1.127
-1.385 -1.412 -4.703
0.408 -1.954 -0.536
0.787 -3.658 -3.371
-0.375 -6.371 -3.563
0.000 0.000 0.000
1.137 -5.408 -2.329
```



--- four ---
This record from Alexandria describes Sr2HfO4 after structural relaxation. The functional is PBE.

volume = 433 Å³/cell
space-group type = I4_1/acd
crystal system = tetragonal

```
Sr2HfO4
1.0
-4.232 11.215 -6.631
-8.007 4.848 -10.001
3.062 -7.620 10.964
O Sr Hf
16 8 4
Cartesian
-3.830 2.718 -4.845
-4.871 4.260 -2.590
-4.544 1.332 -2.333
-5.458 9.661 -7.229
-6.522 3.928 -5.020
-11.251 14.765 -15.288
-5.131 6.734 -6.972
-7.109 9.330 -9.660
-2.290 5.314 -3.471
-3.720 -1.218 1.561
-2.656 4.515 -0.647
-1.355 0.499 1.480
-0.989 1.298 -1.344
-7.823 7.944 -7.147
-10.427 12.215 -11.394
-4.634 7.111 -3.335
-1.505 3.005 0.917
-3.980 5.223 -5.408
-7.673 5.439 -6.584
-10.100 13.255 -13.724
-2.140 2.808 -2.908
-8.260 10.840 -11.224
-3.393 -0.178 -0.769
-5.785 8.622 -4.899
0.000 0.000 0.000
-5.533 2.630 -3.676
-6.120 8.032 -8.316
-3.645 5.813 -1.991
```



Name the most stable of them. one.



--- one ---
This record from Alexandria describes Hf3TaO after structural relaxation. The functional is PBE.

volume = 88 Å³/cell
space-group type = Pm-3m
crystal system = cubic

```
Hf3TaO
1.0
4.450 0.000 0.000
0.000 4.450 0.000
0.000 0.000 4.450
Ta Hf O
1 3 1
Cartesian
2.225 2.225 2.225
2.225 0.000 0.000
0.000 2.225 0.000
0.000 0.000 2.225
0.000 0.000 0.000
```



--- two ---
This record from Alexandria describes Hf3TaO after structural relaxation. The functional is PBE.

volume = 131 Å³/cell
space-group type = Pm-3m
crystal system = cubic

```
Hf3TaO
1.0
5.079 0.000 0.000
0.000 5.079 0.000
0.000 0.000 5.079
Hf Ta O
3 1 1
Cartesian
2.539 0.000 0.000
0.000 0.000 2.539
0.000 2.539 0.000
0.000 0.000 0.000
2.539 2.539 2.539
```



Name the most stable of them. one.



--- one ---
This record from Alexandria describes HfTa3O after structural relaxation. The functional is PBE.

volume = 82 Å³/cell
space-group type = Pm-3m
crystal system = cubic

```
HfTa3O
1.0
4.343 0.000 0.000
0.000 4.343 0.000
0.000 0.000 4.343
Hf Ta O
1 3 1
Cartesian
2.171 2.171 2.171
2.171 0.000 0.000
0.000 0.000 2.171
0.000 2.171 0.000
0.000 0.000 0.000
```



--- two ---
This record from Alexandria describes HfTa3O after structural relaxation. The functional is PBE.

volume = 119 Å³/cell
space-group type = Pm-3m
crystal system = cubic

```
HfTa3O
1.0
-3.466 -3.465 0.438
0.568 0.050 4.887
-3.446 3.494 0.365
O Ta Hf
1 3 1
Cartesian
-3.172 0.039 2.845
0.284 0.025 2.444
-1.733 -1.732 0.219
-1.723 1.747 0.183
0.000 0.000 0.000
```



Name the most stable of them. one.